An optimized crystal structure of HfVGaO2, computed with PBE+U.

a b c (Å): 3.945 4.915 3.945
angles (deg): 90.00 90.00 90.00
Atoms (fractional coordinates):
Hf (0.500, 0.500, 0.500)
O (0.000, 0.000, 0.500)
O (0.500, 0.000, 0.000)
Ga (0.000, 0.000, 0.000)
V (0.000, 0.500, 0.000)

Properties
symmetry: No. 123
ρ: 7.2 Mg/m³
energy: -5.692 eV per atom